(1)
5
Lattice="1.520 -7.268 0.000 1.520 7.268 0.000 0.000 0.000 3.191" Properties=species:S:1:pos:R:3 comment="PBE Nb2SnB2, optimized geometry" spacegroup="Cmmm (65)" dft_energy_ev_per_cell=-39.30 rho_g_cm3=7.68 pbc="T T T"
B 1.520 4.040 0.000
Nb 1.520 -2.263 1.596
Sn 0.000 0.000 0.000
Nb 1.520 2.263 1.596
B 1.520 -4.040 0.000



(2)
3
Lattice="0.000 2.893 2.893 2.893 0.000 2.893 2.893 2.893 0.000" Properties=species:S:1:pos:R:3 comment="PBE NbSnB, optimized geometry" e_above_lowest_polymorph_mev_per_atom=0 spacegroup="F-43m (216)" rho_g_cm3=7.63 pbc="T T T"
B 0.000 0.000 0.000
Nb 1.446 1.446 1.446
Sn 4.339 4.339 4.339



(3)
3
Lattice="2.789 -2.218 -2.654 1.875 -3.775 1.406 -1.233 -3.885 -1.768" Properties=species:S:1:pos:R:3 comment="PBE SrNbB, optimized geometry" e_above_lowest_polymorph_mev_per_atom=0 spacegroup="F-43m (216)" rho_g_cm3=5.12 pbc="T T T"
Nb 0.857 -2.470 -0.754
B 0.000 0.000 0.000
Sr 2.572 -7.409 -2.263